Model w:
Below is a relaxed ReTc crystal, with properties calculated at the GGA-PBE level.

```
data_ReTc
_chemical_formula_sum 'Re2 Tc2'
_cell_length_a 3.9713
_cell_length_b 3.9713
_cell_length_c 5.0954
_cell_angle_alpha 90.00
_cell_angle_beta 90.00
_cell_angle_gamma 120.00
_space_group_name_H-M_alt 'P 63/m m c'
_space_group_IT_number 194
_space_group_name_Hall '-P 6c 2c'
loop_
_atom_site_label
_atom_site_type_symbol
_atom_site_fract_x
_atom_site_fract_y
_atom_site_fract_z
_atom_site_occupancy
Re1 Re 0.0000 0.0000 0.0000 1
Tc1 Tc 0.3333 0.6667 0.2500 1
```



Model x:
Below is a relaxed ReTc crystal, with properties calculated at the GGA-PBE level.

```
data_ReTc
_chemical_formula_sum 'Re4 Tc4'
_cell_length_a 5.1216
_cell_length_b 5.1216
_cell_length_c 5.1216
_cell_angle_alpha 90.00
_cell_angle_beta 90.00
_cell_angle_gamma 90.00
_space_group_name_H-M_alt 'F m -3 m'
_space_group_IT_number 225
_space_group_name_Hall '-F 4 2 3'
loop_
_atom_site_label
_atom_site_type_symbol
_atom_site_fract_x
_atom_site_fract_y
_atom_site_fract_z
_atom_site_occupancy
Re1 Re 0.0000 0.0000 0.0000 1
Tc1 Tc 0.0000 0.0000 0.5000 1
```



Stability check: which of them is most stable? model w.



Model w:
Below is a relaxed CeYEr2 crystal, with properties calculated at the GGA-PBE level.

```
data_CeYEr2
_chemical_formula_sum 'Ce1 Y1 Er2'
_cell_length_a 3.5206
_cell_length_b 3.5206
_cell_length_c 9.9300
_cell_angle_alpha 90.00
_cell_angle_beta 90.00
_cell_angle_gamma 90.00
_space_group_name_H-M_alt 'P 4/m m m'
_space_group_IT_number 123
_space_group_name_Hall '-P 4 2'
loop_
_atom_site_label
_atom_site_type_symbol
_atom_site_fract_x
_atom_site_fract_y
_atom_site_fract_z
_atom_site_occupancy
Ce1 Ce 0.0000 0.0000 0.0000 1
Y1 Y 0.0000 0.0000 0.5000 1
Er1 Er 0.5000 0.5000 0.2435 1
```



Model x:
Below is a relaxed CeYEr2 crystal, with properties calculated at the GGA-PBE level.

```
data_CeYEr2
_chemical_formula_sum 'Ce1 Y1 Er2'
_cell_length_a 4.9910
_cell_length_b 4.9910
_cell_length_c 4.9596
_cell_angle_alpha 90.00
_cell_angle_beta 90.00
_cell_angle_gamma 90.00
_space_group_name_H-M_alt 'P 4/m m m'
_space_group_IT_number 123
_space_group_name_Hall '-P 4 2'
loop_
_atom_site_label
_atom_site_type_symbol
_atom_site_fract_x
_atom_site_fract_y
_atom_site_fract_z
_atom_site_occupancy
Ce1 Ce 0.0000 0.0000 0.0000 1
Y1 Y 0.5000 0.5000 0.0000 1
Er1 Er 0.0000 0.5000 0.5000 1
```



Stability check: which of them is most stable? model w.



Model w:
Below is a relaxed ReAu2Cl crystal, with properties calculated at the GGA-PBE level.

```
data_ReAu2Cl
_chemical_formula_sum 'Re4 Au8 Cl4'
_cell_length_a 6.7165
_cell_length_b 6.7165
_cell_length_c 6.7165
_cell_angle_alpha 90.00
_cell_angle_beta 90.00
_cell_angle_gamma 90.00
_space_group_name_H-M_alt 'F m -3 m'
_space_group_IT_number 225
_space_group_name_Hall '-F 4 2 3'
loop_
_atom_site_label
_atom_site_type_symbol
_atom_site_fract_x
_atom_site_fract_y
_atom_site_fract_z
_atom_site_occupancy
Re1 Re 0.0000 0.0000 0.0000 1
Au1 Au 0.2500 0.2500 0.2500 1
Cl1 Cl 0.0000 0.0000 0.5000 1
```



Model x:
Below is a relaxed ReAu2Cl crystal, with properties calculated at the GGA-PBE level.

```
data_ReAu2Cl
_chemical_formula_sum 'Re3 Au6 Cl3'
_cell_length_a 3.0236
_cell_length_b 3.0236
_cell_length_c 26.3579
_cell_angle_alpha 90.00
_cell_angle_beta 90.00
_cell_angle_gamma 120.00
_space_group_name_H-M_alt 'R -3 m'
_space_group_IT_number 166
_space_group_name_Hall '-R 3 2"'
loop_
_atom_site_label
_atom_site_type_symbol
_atom_site_fract_x
_atom_site_fract_y
_atom_site_fract_z
_atom_site_occupancy
Re1 Re 0.0000 0.0000 0.0000 1
Au1 Au 0.0000 0.0000 0.2515 1
Cl1 Cl 0.0000 0.0000 0.5000 1
```



Stability check: which of them is most stable? model x.



Model w:
Below is a relaxed YBeFe crystal, with properties calculated at the GGA-PBE level.

```
data_YBeFe
_chemical_formula_sum 'Y4 Be4 Fe4'
_cell_length_a 6.3535
_cell_length_b 6.3535
_cell_length_c 6.3535
_cell_angle_alpha 90.00
_cell_angle_beta 90.00
_cell_angle_gamma 90.00
_space_group_name_H-M_alt 'F -4 3 m'
_space_group_IT_number 216
_space_group_name_Hall 'F -4 2 3'
loop_
_atom_site_label
_atom_site_type_symbol
_atom_site_fract_x
_atom_site_fract_y
_atom_site_fract_z
_atom_site_occupancy
Y1 Y 0.0000 0.0000 0.0000 1
Be1 Be 0.2500 0.2500 0.7500 1
Fe1 Fe 0.2500 0.2500 0.2500 1
```



Model x:
Below is a relaxed YBeFe crystal, with properties calculated at the GGA-PBE level.

```
data_YBeFe
_chemical_formula_sum 'Y1 Be1 Fe1'
_cell_length_a 3.8648
_cell_length_b 3.8648
_cell_length_c 3.8738
_cell_angle_alpha 90.00
_cell_angle_beta 90.00
_cell_angle_gamma 120.00
_space_group_name_H-M_alt 'P -6 m 2'
_space_group_IT_number 187
_space_group_name_Hall 'P -6 2'
loop_
_atom_site_label
_atom_site_type_symbol
_atom_site_fract_x
_atom_site_fract_y
_atom_site_fract_z
_atom_site_occupancy
Y1 Y 0.0000 0.0000 0.0000 1
Be1 Be 0.6667 0.3333 0.5000 1
Fe1 Fe 0.3333 0.6667 0.5000 1
```



Stability check: which of them is most stable? model x.



Model w:
Below is a relaxed Mg2FeTc crystal, with properties calculated at the GGA-PBE level.

```
data_Mg2FeTc
_chemical_formula_sum 'Mg8 Fe4 Tc4'
_cell_length_a 6.1581
_cell_length_b 6.1581
_cell_length_c 6.1581
_cell_angle_alpha 90.00
_cell_angle_beta 90.00
_cell_angle_gamma 90.00
_space_group_name_H-M_alt 'F -4 3 m'
_space_group_IT_number 216
_space_group_name_Hall 'F -4 2 3'
loop_
_atom_site_label
_atom_site_type_symbol
_atom_site_fract_x
_atom_site_fract_y
_atom_site_fract_z
_atom_site_occupancy
Mg1 Mg 0.0000 0.0000 0.0000 1
Mg2 Mg 0.2500 0.2500 0.2500 1
Fe1 Fe 0.2500 0.2500 0.7500 1
Tc1 Tc 0.0000 0.0000 0.5000 1
```



Model x:
Below is a relaxed Mg2FeTc crystal, with properties calculated at the GGA-PBE level.

```
data_Mg2FeTc
_chemical_formula_sum 'Mg8 Fe4 Tc4'
_cell_length_a 6.3309
_cell_length_b 6.3309
_cell_length_c 6.3309
_cell_angle_alpha 90.00
_cell_angle_beta 90.00
_cell_angle_gamma 90.00
_space_group_name_H-M_alt 'F m -3 m'
_space_group_IT_number 225
_space_group_name_Hall '-F 4 2 3'
loop_
_atom_site_label
_atom_site_type_symbol
_atom_site_fract_x
_atom_site_fract_y
_atom_site_fract_z
_atom_site_occupancy
Mg1 Mg 0.2500 0.2500 0.2500 1
Fe1 Fe 0.0000 0.0000 0.0000 1
Tc1 Tc 0.0000 0.0000 0.5000 1
```



Stability check: which of them is most stable? model w.



Model w:
Below is a relaxed FePC crystal, with properties calculated at the GGA-PBE level.

```
data_FePC
_chemical_formula_sum 'Fe2 P2 C2'
_cell_length_a 2.6056
_cell_length_b 2.8587
_cell_length_c 8.7138
_cell_angle_alpha 90.00
_cell_angle_beta 90.00
_cell_angle_gamma 90.00
_space_group_name_H-M_alt 'A m m 2'
_space_group_IT_number 38
loop_
_space_group_symop_operation_xyz
'x,y,z'
'-x,-y,z'
'-x,y,z'
'x,-y,z'
'x,y+1/2,z+1/2'
'-x,-y+1/2,z+1/2'
'-x,y+1/2,z+1/2'
'x,-y+1/2,z+1/2'
loop_
_atom_site_label
_atom_site_type_symbol
_atom_site_fract_x
_atom_site_fract_y
_atom_site_fract_z
_atom_site_occupancy
Fe1 Fe 0.0000 0.0000 0.0000 1
P1 P 0.5000 0.0000 0.2082 1
C1 C 0.5000 0.0000 0.8329 1
```



Model x:
Below is a relaxed FePC crystal, with properties calculated at the GGA-PBE level.

```
data_FePC
_chemical_formula_sum 'Fe1 P1 C1'
_cell_length_a 3.4049
_cell_length_b 2.7758
_cell_length_c 4.1778
_cell_angle_alpha 90.00
_cell_angle_beta 113.56
_cell_angle_gamma 90.00
_space_group_name_H-M_alt 'P 1 m 1'
_space_group_IT_number 6
loop_
_space_group_symop_operation_xyz
'x,y,z'
'x,-y,z'
loop_
_atom_site_label
_atom_site_type_symbol
_atom_site_fract_x
_atom_site_fract_y
_atom_site_fract_z
_atom_site_occupancy
Fe1 Fe 0.0000 0.0000 0.0000 1
P1 P 0.6777 0.0000 0.3622 1
C1 C 0.8319 0.5000 0.6695 1
```



Stability check: which of them is most stable? model w.



Model w:
Below is a relaxed ZrAuSe3 crystal, with properties calculated at the GGA-PBE level.

```
data_ZrAuSe3
_chemical_formula_sum 'Zr1 Au1 Se3'
_cell_length_a 5.2074
_cell_length_b 5.2074
_cell_length_c 5.2074
_cell_angle_alpha 90.00
_cell_angle_beta 90.00
_cell_angle_gamma 90.00
_space_group_name_H-M_alt 'P m -3 m'
_space_group_IT_number 221
_space_group_name_Hall '-P 4 2 3'
loop_
_atom_site_label
_atom_site_type_symbol
_atom_site_fract_x
_atom_site_fract_y
_atom_site_fract_z
_atom_site_occupancy
Zr1 Zr 0.0000 0.0000 0.0000 1
Au1 Au 0.5000 0.5000 0.5000 1
Se1 Se 0.0000 0.0000 0.5000 1
```



Model x:
Below is a relaxed ZrAuSe3 crystal, with properties calculated at the GGA-PBE level.

```
data_ZrAuSe3
_chemical_formula_sum 'Zr1 Au1 Se3'
_cell_length_a 4.9997
_cell_length_b 4.9997
_cell_length_c 4.9997
_cell_angle_alpha 90.00
_cell_angle_beta 90.00
_cell_angle_gamma 90.00
_space_group_name_H-M_alt 'P m -3 m'
_space_group_IT_number 221
_space_group_name_Hall '-P 4 2 3'
loop_
_atom_site_label
_atom_site_type_symbol
_atom_site_fract_x
_atom_site_fract_y
_atom_site_fract_z
_atom_site_occupancy
Zr1 Zr 0.0000 0.0000 0.0000 1
Au1 Au 0.5000 0.5000 0.5000 1
Se1 Se 0.0000 0.5000 0.5000 1
```



Stability check: which of them is most stable? model w.



Model w:
Below is a relaxed AgSb crystal, with properties calculated at the GGA-PBE level.

```
data_AgSb
_chemical_formula_sum 'Ag16 Sb16'
_cell_length_a 7.3375
_cell_length_b 8.8771
_cell_length_c 11.5986
_cell_angle_alpha 90.00
_cell_angle_beta 90.00
_cell_angle_gamma 90.00
_space_group_name_H-M_alt 'F d d d'
_space_group_IT_number 70
loop_
_space_group_symop_operation_xyz
'x,y,z'
'-x,-y,-z'
'-x+1/4,-y+1/4,z'
'x+1/4,y+1/4,-z'
'x,-y+1/4,-z+1/4'
'-x,y+1/4,z+1/4'
'-x+1/4,y,-z+1/4'
'x+1/4,-y,z+1/4'
'x,y+1/2,z+1/2'
'-x,-y+1/2,-z+1/2'
'-x+1/4,-y+3/4,z+1/2'
'x+1/4,y+3/4,-z+1/2'
'x,-y+3/4,-z+3/4'
'-x,y+3/4,z+3/4'
'-x+1/4,y+1/2,-z+3/4'
'x+1/4,-y+1/2,z+3/4'
'x+1/2,y,z+1/2'
'-x+1/2,-y,-z+1/2'
'-x+3/4,-y+1/4,z+1/2'
'x+3/4,y+1/4,-z+1/2'
'x+1/2,-y+1/4,-z+3/4'
'-x+1/2,y+1/4,z+3/4'
'-x+3/4,y,-z+3/4'
'x+3/4,-y,z+3/4'
'x+1/2,y+1/2,z'
'-x+1/2,-y+1/2,-z'
'-x+3/4,-y+3/4,z'
'x+3/4,y+3/4,-z'
'x+1/2,-y+3/4,-z+1/4'
'-x+1/2,y+3/4,z+1/4'
'-x+3/4,y+1/2,-z+1/4'
'x+3/4,-y+1/2,z+1/4'
loop_
_atom_site_label
_atom_site_type_symbol
_atom_site_fract_x
_atom_site_fract_y
_atom_site_fract_z
_atom_site_occupancy
Ag1 Ag 0.0730 0.3750 0.3750 1
Sb1 Sb 0.1250 0.3350 0.6250 1
```



Model x:
Below is a relaxed AgSb crystal, with properties calculated at the GGA-PBE level.

```
data_AgSb
_chemical_formula_sum 'Ag8 Sb8'
_cell_length_a 6.1510
_cell_length_b 7.1571
_cell_length_c 8.8557
_cell_angle_alpha 90.00
_cell_angle_beta 90.00
_cell_angle_gamma 90.00
_space_group_name_H-M_alt 'P n m a'
_space_group_IT_number 62
loop_
_space_group_symop_operation_xyz
'x,y,z'
'-x,-y,-z'
'-x+1/2,-y,z+1/2'
'x+1/2,y,-z+1/2'
'x+1/2,-y+1/2,-z+1/2'
'-x+1/2,y+1/2,z+1/2'
'-x,y+1/2,-z'
'x,-y+1/2,z'
loop_
_atom_site_label
_atom_site_type_symbol
_atom_site_fract_x
_atom_site_fract_y
_atom_site_fract_z
_atom_site_occupancy
Ag1 Ag 0.2503 0.0459 0.0106 1
Sb1 Sb 0.2468 0.2500 0.2917 1
Sb2 Sb 0.2482 0.7500 0.2297 1
```



Stability check: which of them is most stable? model x.